# 1
# Cs2CdHg2

An optimized crystal structure of Cs2CdHg2 (PBE, Alexandria via LeMat-Bulk).

Values from the calculation:
Offset from the most stable computed form: 54 meV per atom
D(E_F): 0.856 states/eV/atom
ρ: 5.8 Mg/m³
Calculated formation energy: -0.143 eV per atom

abc: 8.8835 8.8835 5.6530
angles: 90.00 90.00 90.00
Sites, in units of the cell vectors:
Cs  0.1795  0.6795  0.5000
Cs  0.3205  0.1795  0.5000
Cs  0.6795  0.8205  0.5000
Cs  0.8205  0.3205  0.5000
Cd  0.0000  0.0000  0.0000
Cd  0.5000  0.5000  0.0000
Hg  0.6263  0.1263  0.0000
Hg  0.1263  0.3737  0.0000
Hg  0.8737  0.6263  0.0000
Hg  0.3737  0.8737  0.0000

=====

# 2
# NiTeRu3

An optimized crystal structure of NiTeRu3 (PBE, Alexandria via LeMat-Bulk).

Values from the calculation:
Uncorrected formation energy: 1.853 eV per atom
Offset from the most stable computed form: 544 meV per atom
D(E_F): 1.749 states/eV/atom
ρ: 7.9 Mg/m³

abc: 4.6927 4.6927 4.6927
angles: 90.00 90.00 90.00
Last column: magnetic moment on the atom in μB.
Sites, in units of the cell vectors:
Ru  0.0000  0.0000  0.5000  1.00
Ru  0.5000  0.0000  0.0000  0.87
Ru  0.0000  0.5000  0.0000  0.89
Ni  0.5000  0.5000  0.5000  1.09
Te  0.0000  0.0000  0.0000  -0.05

=====

# 3
# TcGeSe2

An optimized crystal structure of TcGeSe2 (PBE, Alexandria via LeMat-Bulk).

Values from the calculation:
Uncorrected formation energy: 0.566 eV per atom
D(E_F): 0.922 states/eV/atom
ρ: 6.4 Mg/m³

abc: 8.2685 8.2685 8.2685
angles: 24.44 24.44 24.44
Sites, in units of the cell vectors:
Se  0.0980  0.0980  0.0980
Se  0.9020  0.9020  0.9020
Tc  0.0000  0.0000  0.0000
Ge  0.5000  0.5000  0.5000

=====

Question: D(E_F) of number 1 (Cs2CdHg2)?
Answer: 0.856 states/eV/atom